[1]
The following is a PBE calculation of Pr6CdPd2 after structural relaxation, from Alexandria. Values from VASP.

Geometry as Quantum ESPRESSO input:
```
&SYSTEM
  ibrav = 0, nat = 18, ntyp = 3
/
ATOMIC_SPECIES
Pr 140.91 Pr.upf
Cd 112.41 Cd.upf
Pd 106.42 Pd.upf
CELL_PARAMETERS angstrom
8.391 -0.130 -3.013
-4.533 7.280 -2.440
-0.048 0.130 8.915
ATOMIC_POSITIONS crystal
Pr 0.532 0.712 0.819
Pr 0.468 0.288 0.181
Pr 0.107 0.288 0.819
Pr 0.893 0.712 0.181
Pr 0.806 0.762 0.567
Pr 0.194 0.238 0.433
Pr 0.194 0.762 0.956
Pr 0.806 0.238 0.044
Pr 0.698 0.372 0.674
Pr 0.302 0.628 0.326
Pr 0.302 0.977 0.674
Pr 0.698 0.023 0.326
Cd 0.000 0.500 0.500
Cd 0.000 0.000 0.000
Pd 0.500 0.371 0.871
Pd 0.500 0.629 0.129
Pd 0.652 0.000 0.652
Pd 0.348 0.000 0.348
```

Spin magnetization = 0.00 μB per formula unit
Energy relative to the elements = -408 meV per atom

[2]
The following is a PBE calculation of Ca2GaReB after structural relaxation, from Alexandria. Values from VASP.

Geometry as Quantum ESPRESSO input:
```
&SYSTEM
  ibrav = 0, nat = 5, ntyp = 4
/
ATOMIC_SPECIES
Re 186.21 Re.upf
Ca 40.08 Ca.upf
B 10.81 B.upf
Ga 69.72 Ga.upf
CELL_PARAMETERS angstrom
-2.665 -2.128 -3.862
1.055 -3.714 1.318
-4.203 -0.138 2.976
ATOMIC_POSITIONS crystal
Re 0.000 0.500 0.000
Ca 0.000 0.000 0.500
Ca 0.500 0.000 0.000
B 0.000 0.000 0.000
Ga 0.500 0.500 0.500
```

Spin magnetization = 1.02 μB per formula unit
Energy relative to the elements = 263 meV per atom

[3]
The following is a PBE calculation of Tc3Sn after structural relaxation, from Alexandria. Values from VASP.

Geometry as Quantum ESPRESSO input:
```
&SYSTEM
  ibrav = 0, nat = 8, ntyp = 2
/
ATOMIC_SPECIES
Tc 98.00 Tc.upf
Sn 118.71 Sn.upf
CELL_PARAMETERS angstrom
-3.175 2.462 -3.961
-2.434 -2.289 4.547
0.356 4.028 2.218
ATOMIC_POSITIONS crystal
Tc 0.166 0.332 0.250
Tc 0.668 0.834 0.250
Tc 0.166 0.834 0.250
Tc 0.834 0.668 0.750
Tc 0.332 0.166 0.750
Tc 0.834 0.166 0.750
Sn 0.333 0.667 0.750
Sn 0.667 0.333 0.250
```

ΔE to the lowest computed polymorph = 0.12 eV per formula unit
Spin magnetization = 0.00 μB per formula unit
Energy relative to the elements = 238 meV per atom